Density functional theory data (GGA+U) for crystalline Ca2BiWO6 at its relaxed geometry.

Cell: 5.671 5.979 10.023 Å, 90.00 124.26 90.00°
Atoms (fractional coordinates):
1 Ca 0.247 0.053 0.257
2 Ca 0.247 0.447 0.757
3 Ca 0.753 0.553 0.243
4 Ca 0.753 0.947 0.743
5 Bi 0.500 0.000 0.000
6 Bi 0.500 0.500 0.500
7 W 0.000 0.000 0.500
8 W 0.000 0.500 0.000
9 O 0.088 0.216 0.920
10 O 0.088 0.284 0.420
11 O 0.239 0.667 0.951
12 O 0.239 0.833 0.451
13 O 0.351 0.072 0.728
14 O 0.351 0.428 0.228
15 O 0.649 0.572 0.772
16 O 0.649 0.928 0.272
17 O 0.761 0.167 0.549
18 O 0.761 0.333 0.049
19 O 0.912 0.716 0.580
20 O 0.912 0.784 0.080

The value obtained for the magnetization is 0.100 μB/atom. The space group is P2_1/c, No. 14. As for the total energy: -135.1 eV/cell. The density of states at the Fermi level is 0.00 states/eV/f.u. As for the energy above the most stable polymorph in this dataset: 0.000 eV/atom.